Entry 1:
DFT (PBE) results for a relaxed CdOsBr2 crystal.

Values from the calculation:
size of the total moment = 0.000 μB per cell
relative energy among the computed polymorphs = 0.000 eV/atom
space-group type = Pm, No. 6
formation energy (no corrections) = 0.23 eV/atom

Cell and atoms, written as extended XYZ:
```
4
Lattice="3.2385 0.0000 0.0000 0.0000 4.5026 0.0294 0.0000 2.1714 7.3420" Properties=species:S:1:pos:R:3 pbc="T T T"
Os 1.6192 5.8577 4.8916
Br 0.0000 5.8450 6.7812
Br 1.6192 1.3725 2.3937
Cd 0.0000 3.6097 4.3619
```

Entry 2:
DFT (PBE) results for a relaxed NaAcSi2 crystal.

Values from the calculation:
size of the total moment = 0.000 μB per cell
space-group type = P4/mmm, No. 123
formation energy (no corrections) = -0.03 eV/atom

Cell and atoms, written as extended XYZ:
```
4
Lattice="-1.6762 3.9968 1.2761 -0.7046 -1.6760 4.3238 4.2984 1.4052 1.2451" Properties=species:S:1:pos:R:3 pbc="T T T"
Na 0.9588 1.8630 3.4225
Ac -0.8381 1.9984 0.6381
Si 2.1492 0.7026 0.6226
Si -0.3523 -0.8380 2.1619
```

Q: Which formula does entry 2 have?
A: NaAcSi2